Record 1
First-principles (PBEsol) data for a relaxed YPbBr2 crystal, as listed in Alexandria.

CIF file:
```
data_YPbBr2
_chemical_formula_sum 'Y2 Pb2 Br4'
_symmetry_space_group_name_H-M 'I 4/m m m'
_symmetry_Int_Tables_number 139
_symmetry_space_group_name_Hall '-I 4 2'
_cell_length_a 4.718
_cell_length_b 4.718
_cell_length_c 9.290
_cell_angle_alpha 90.00
_cell_angle_beta 90.00
_cell_angle_gamma 90.00
loop_
_atom_site_label
_atom_site_type_symbol
_atom_site_fract_x
_atom_site_fract_y
_atom_site_fract_z
Y1 Y 0.000 0.000 0.000
Pb1 Pb 0.000 0.000 0.500
Br1 Br 0.000 0.500 0.250
```

**Calculated volume**: 25.85 Å³/atom
**Energy relative to the lowest polymorph listed for this composition**: 325 meV per atom
**Magnetization**: 0.00 μB/f.u.
**Raw formation energy**: -0.721 eV/atom



Record 2
First-principles (PBEsol) data for a relaxed Na6Ge2S7 crystal, as listed in Alexandria.

CIF file:
```
data_Na6Ge2S7
_chemical_formula_sum 'Na24 Ge8 S28'
_symmetry_space_group_name_H-M 'C 1 2/c 1'
_symmetry_Int_Tables_number 15
_cell_length_a 8.988
_cell_length_b 10.411
_cell_length_c 14.985
_cell_angle_alpha 90.00
_cell_angle_beta 104.51
_cell_angle_gamma 90.00
loop_
_symmetry_equiv_pos_as_xyz
'x,y,z'
'-x,-y,-z'
'-x,y,-z+1/2'
'x,-y,z+1/2'
'x+1/2,y+1/2,z'
'-x+1/2,-y+1/2,-z'
'-x+1/2,y+1/2,-z+1/2'
'x+1/2,-y+1/2,z+1/2'
loop_
_atom_site_label
_atom_site_type_symbol
_atom_site_fract_x
_atom_site_fract_y
_atom_site_fract_z
Na1 Na 0.000 0.000 0.000
Na2 Na 0.000 0.080 0.250
Na3 Na 0.117 0.355 0.575
Na4 Na 0.228 0.221 0.861
Ge1 Ge 0.157 0.418 0.361
S1 S 0.000 0.462 0.750
S2 S 0.052 0.241 0.396
S3 S 0.129 0.126 0.680
S4 S 0.196 0.436 0.972
```

**Calculated volume**: 22.62 Å³/atom
**Magnetization**: 0.00 μB/f.u.
**Raw formation energy**: -0.929 eV/atom



Record 3
First-principles (PBEsol) data for a relaxed CaSiNi2F crystal, as listed in Alexandria.

CIF file:
```
data_CaSiNi2F
_chemical_formula_sum 'Ca1 Si1 Ni2 F1'
_symmetry_space_group_name_H-M 'P 4/m m m'
_symmetry_Int_Tables_number 123
_symmetry_space_group_name_Hall '-P 4 2'
_cell_length_a 4.191
_cell_length_b 4.191
_cell_length_c 4.293
_cell_angle_alpha 90.00
_cell_angle_beta 90.00
_cell_angle_gamma 90.00
loop_
_atom_site_label
_atom_site_type_symbol
_atom_site_fract_x
_atom_site_fract_y
_atom_site_fract_z
Ca1 Ca 0.000 0.000 0.000
Si1 Si 0.500 0.500 0.000
Ni1 Ni 0.000 0.500 0.500
F1 F 0.500 0.500 0.500
```

**Calculated volume**: 15.08 Å³/atom
**Magnetization**: 0.01 μB/f.u.
**Raw formation energy**: 0.075 eV/atom



Record 4
First-principles (PBEsol) data for a relaxed Li2LaGeRh crystal, as listed in Alexandria.

CIF file:
```
data_Li2LaGeRh
_chemical_formula_sum 'Li2 La1 Ge1 Rh1'
_symmetry_space_group_name_H-M 'P 4/m m m'
_symmetry_Int_Tables_number 123
_symmetry_space_group_name_Hall '-P 4 2'
_cell_length_a 4.539
_cell_length_b 4.539
_cell_length_c 4.742
_cell_angle_alpha 90.00
_cell_angle_beta 90.00
_cell_angle_gamma 90.00
loop_
_atom_site_label
_atom_site_type_symbol
_atom_site_fract_x
_atom_site_fract_y
_atom_site_fract_z
Li1 Li 0.000 0.500 0.000
La1 La 0.000 0.000 0.500
Ge1 Ge 0.500 0.500 0.000
Rh1 Rh 0.500 0.500 0.500
```

**Calculated volume**: 19.54 Å³/atom
**E_form**: -0.2320 eV per atom
**Magnetization**: 0.00 μB/f.u.



Record 5
First-principles (PBEsol) data for a relaxed KSi3Br crystal, as listed in Alexandria.

CIF file:
```
data_KSi3Br
_chemical_formula_sum 'K1 Si3 Br1'
_symmetry_space_group_name_H-M 'P m -3 m'
_symmetry_Int_Tables_number 221
_symmetry_space_group_name_Hall '-P 4 2 3'
_cell_length_a 5.557
_cell_length_b 5.557
_cell_length_c 5.557
_cell_angle_alpha 90.00
_cell_angle_beta 90.00
_cell_angle_gamma 90.00
loop_
_atom_site_label
_atom_site_type_symbol
_atom_site_fract_x
_atom_site_fract_y
_atom_site_fract_z
K1 K 0.000 0.000 0.000
Si1 Si 0.000 0.000 0.500
Br1 Br 0.500 0.500 0.500
```

**Calculated volume**: 34.32 Å³/atom
**Magnetization**: 2.94 μB/f.u.
**Raw formation energy**: 2.052 eV/atom



Record 6
First-principles (PBEsol) data for a relaxed FeCu2Ag crystal, as listed in Alexandria.

CIF file:
```
data_FeCu2Ag
_chemical_formula_sum 'Fe2 Cu4 Ag2'
_symmetry_space_group_name_H-M 'C 1 2/m 1'
_symmetry_Int_Tables_number 12
_cell_length_a 8.544
_cell_length_b 2.589
_cell_length_c 4.681
_cell_angle_alpha 90.00
_cell_angle_beta 98.81
_cell_angle_gamma 90.00
loop_
_symmetry_equiv_pos_as_xyz
'x,y,z'
'-x,-y,-z'
'-x,y,-z'
'x,-y,z'
'x+1/2,y+1/2,z'
'-x+1/2,-y+1/2,-z'
'-x+1/2,y+1/2,-z'
'x+1/2,-y+1/2,z'
loop_
_atom_site_label
_atom_site_type_symbol
_atom_site_fract_x
_atom_site_fract_y
_atom_site_fract_z
Fe1 Fe 0.000 0.000 0.000
Cu1 Cu 0.246 0.500 0.232
Ag1 Ag 0.000 0.500 0.500
```

**Calculated volume**: 12.79 Å³/atom
**Energy relative to the lowest polymorph listed for this composition**: 81 meV per atom
**E_form**: 0.2631 eV per atom
**Magnetization**: 2.80 μB/f.u.



Record 7
First-principles (PBEsol) data for a relaxed HOsCl2 crystal, as listed in Alexandria.

CIF file:
```
data_HOsCl2
_chemical_formula_sum 'H4 Os4 Cl8'
_symmetry_space_group_name_H-M 'I -4 2 d'
_symmetry_Int_Tables_number 122
_symmetry_space_group_name_Hall 'I -4 2bw'
_cell_length_a 4.916
_cell_length_b 4.916
_cell_length_c 9.211
_cell_angle_alpha 90.00
_cell_angle_beta 90.00
_cell_angle_gamma 90.00
loop_
_atom_site_label
_atom_site_type_symbol
_atom_site_fract_x
_atom_site_fract_y
_atom_site_fract_z
H1 H 0.000 0.000 0.000
Os1 Os 0.000 0.000 0.500
Cl1 Cl 0.188 0.250 0.125
```

**Calculated volume**: 13.91 Å³/atom
**Electronic total energy**: -65.53 eV for the cell shown
**Magnetization**: 0.00 μB/f.u.



Record 8
First-principles (PBEsol) data for a relaxed Pb6Au7 crystal, as listed in Alexandria.

CIF file:
```
data_Pb6Au7
_chemical_formula_sum 'Pb18 Au21'
_symmetry_space_group_name_H-M 'R -3 m'
_symmetry_Int_Tables_number 166
_symmetry_space_group_name_Hall '-R 3 2"'
_cell_length_a 5.6139
_cell_length_b 5.6139
_cell_length_c 31.9747
_cell_angle_alpha 90.00
_cell_angle_beta 90.00
_cell_angle_gamma 120.00
loop_
_atom_site_label
_atom_site_type_symbol
_atom_site_fract_x
_atom_site_fract_y
_atom_site_fract_z
Pb1 Pb 0.0000 0.0000 0.0507
Pb2 Pb 0.0000 0.0000 0.1542
Pb3 Pb 0.0000 0.0000 0.3326
Au1 Au 0.0000 0.0000 0.5000
Au2 Au 0.0006 0.5003 0.9077
```

**Calculated volume**: 22.38 Å³/atom
**E_form**: -0.0380 eV per atom
**Magnetization**: 0.00 μB/f.u.



> Look up the calculated volume of the fifth one.

34.32 Å³/atom